(1)
A geometry-optimized Hf2Al2Ni3Pd structure, computed with GGA-PBE.

Space group: P-4m2
Calculated total energy, hartree per atom: -0.2511

a = 4.3544 Å, b = 4.3544 Å, c = 6.1974 Å
α = 90.00°, β = 90.00°, γ = 90.00°
Element x y z (fractional)
Al 0.0000 0.5000 0.2552
Al 0.5000 0.0000 0.7448
Hf 0.5000 0.0000 0.2615
Hf 0.0000 0.5000 0.7385
Ni 0.5000 0.5000 0.0000
Ni 0.0000 0.0000 0.5000
Ni 0.5000 0.5000 0.5000
Pd 0.0000 0.0000 0.0000

***

(2)
A geometry-optimized Hf2Al2NiPd3 structure, computed with GGA-PBE.

Space group: P3m1
Calculated total energy, hartree per atom: -0.2511

a = 4.2512 Å, b = 4.2512 Å, c = 8.4324 Å
α = 90.00°, β = 90.00°, γ = 120.00°
Element x y z (fractional)
Al 0.3333 0.6667 0.0134
Al 0.3333 0.6667 0.4973
Hf 0.6667 0.3333 0.2422
Hf 0.0000 0.0000 0.7565
Ni 0.0000 0.0000 0.0821
Pd 0.0000 0.0000 0.4055
Pd 0.6667 0.3333 0.5856
Pd 0.6667 0.3333 0.9174

***

(3)
A geometry-optimized HfAlNiPd structure, computed with GGA-PBE.

Space group: P6_3mc
Calculated total energy, hartree per atom: -0.2510

a = 4.1944 Å, b = 4.1944 Å, c = 8.2598 Å
α = 90.00°, β = 90.00°, γ = 120.00°
Element x y z (fractional)
Al 0.0000 0.0000 0.0111
Al 0.0000 0.0000 0.5111
Hf 0.3333 0.6667 0.2468
Hf 0.6667 0.3333 0.7468
Ni 0.6667 0.3333 0.0820
Ni 0.3333 0.6667 0.5820
Pd 0.6667 0.3333 0.4100
Pd 0.3333 0.6667 0.9100

***

(4)
A geometry-optimized HfAlNiPd structure, computed with GGA-PBE.

Space group: P-6m2
Calculated total energy, hartree per atom: -0.2509

a = 4.1883 Å, b = 4.1883 Å, c = 8.2863 Å
α = 90.00°, β = 90.00°, γ = 120.00°
Element x y z (fractional)
Al 0.0000 0.0000 0.2302
Al 0.0000 0.0000 0.7698
Hf 0.3333 0.6667 0.0000
Hf 0.6667 0.3333 0.5000
Ni 0.6667 0.3333 0.1592
Ni 0.6667 0.3333 0.8408
Pd 0.3333 0.6667 0.3323
Pd 0.3333 0.6667 0.6677